## Tb2ThNi (PBE)

Data for a geometry-optimized Tb2ThNi structure.

Properties
D(E_F) in states/eV/cell: 3.3
Mass density in g/cm³: 8.99
Symmetry: R-3m (166)
Energy of formation in eV per atom: 0.10
Magnetization in μB/atom: 0.000
Uncorrected energy in eV per atom: -5.52
ΔE to the lowest computed polymorph in meV/atom: 318

```
4
Lattice="3.5163 0.0000 0.0000 1.7581 3.0452 0.0000 1.7581 1.0151 10.4990" Properties=species:S:1:pos:R:3 pbc="T T T"
Th 0.0000 0.0000 0.0000
Tb 5.2744 3.0452 3.4608
Tb 1.7581 1.0151 7.0381
Ni 3.5163 2.0301 5.2495
```

## Tb2ThNi9 (PBE)

Data for a geometry-optimized Tb2ThNi9 structure.

Properties
D(E_F) in states/eV/cell: 14.2
Mass density in g/cm³: 10.14
Symmetry: R-3m (166)
Energy of formation in eV per atom: -0.43
Magnetization in μB/atom: 0.000
Uncorrected energy in eV per atom: -6.16

```
12
Lattice="4.9888 0.0000 0.0000 2.4944 4.3204 0.0000 2.4944 1.4401 8.1891" Properties=species:S:1:pos:R:3 pbc="T T T"
Th 0.0000 0.0000 0.0000
Ni 7.4831 4.3204 8.1830
Ni 6.2380 3.6015 6.1550
Ni 4.9888 4.3227 2.0342
Ni 6.2380 2.1590 2.0342
Ni 4.9888 2.8803 4.0946
Ni 2.4944 1.4401 0.0062
Tb 2.4944 1.4401 4.7499
Ni 3.7396 2.1590 2.0342
Tb 7.4831 4.3204 3.4392
Ni 3.7395 3.6015 6.1550
Ni 4.9888 1.4378 6.1550
```

## Tb2ThNi (PBE)

Data for a geometry-optimized Tb2ThNi structure.

Properties
D(E_F) in states/eV/cell: 20.1
Mass density in g/cm³: 9.44
Symmetry: Pnma (62)
Energy of formation in eV per atom: -0.22
Magnetization in μB/atom: 0.000
Uncorrected energy in eV per atom: -5.83
ΔE to the lowest computed polymorph in meV/atom: 0

```
16
Lattice="6.3941 0.0000 0.0000 0.0000 6.8613 0.0000 0.0000 0.0000 9.7582" Properties=species:S:1:pos:R:3 pbc="T T T"
Th 0.9826 6.5870 7.3186
Tb 5.3101 2.1971 5.5362
Tb 1.0840 4.6642 0.6571
Th 5.4116 0.2742 2.4395
Tb 4.2811 5.6277 5.5362
Tb 2.1131 1.2335 0.6571
Tb 1.0840 4.6642 4.2220
Ni 3.5447 0.8305 7.3186
Th 4.1796 3.7049 2.4395
Ni 0.3477 2.6002 2.4395
Ni 6.0465 4.2611 7.3186
Tb 2.1131 1.2335 4.2220
Tb 5.3101 2.1971 9.1011
Ni 2.8494 6.0308 2.4395
Th 2.2145 3.1564 7.3186
Tb 4.2811 5.6277 9.1011
```

## TbThNi3 (PBE)

Data for a geometry-optimized TbThNi3 structure.

Properties
D(E_F) in states/eV/cell: 8.8
Mass density in g/cm³: 9.82
Symmetry: Cmcm (63)
Energy of formation in eV per atom: -0.42
Magnetization in μB/atom: 0.000
Uncorrected energy in eV per atom: -6.30

```
10
Lattice="4.0633 0.0000 0.0000 0.0000 3.7418 0.0000 0.0000 -1.8709 12.6078" Properties=species:S:1:pos:R:3 pbc="T T T"
Ni 3.0475 1.8709 2.9163
Ni 1.0158 0.0000 12.0262
Th 3.0475 0.0000 4.9456
Ni 3.0475 1.8709 0.5816
Tb 3.0475 1.8709 10.9034
Tb 1.0158 0.0000 1.7045
Ni 1.0158 0.0000 9.6916
Ni 1.0158 1.8709 4.5236
Th 1.0158 1.8709 7.6623
Ni 3.0475 0.0000 8.0842
```

## Tb5ThNi2 (PBE)

Data for a geometry-optimized Tb5ThNi2 structure.

Properties
D(E_F) in states/eV/cell: 18.4
Mass density in g/cm³: 8.56
Symmetry: C2/m (12)
Energy of formation in eV per atom: -0.14
Magnetization in μB/atom: 0.000
Uncorrected energy in eV per atom: -5.41

```
16
Lattice="3.7004 0.0000 0.0000 -1.8502 6.7022 -0.0020 0.0000 -0.0068 17.9016" Properties=species:S:1:pos:R:3 pbc="T T T"
Th 1.8502 3.8026 13.4216
Tb 0.0000 0.7872 1.6145
Tb 1.8502 5.9145 10.5647
Tb 1.8502 2.3262 10.0789
Tb 0.0000 6.5539 4.4717
Ni 1.8502 2.6593 6.5381
Tb 0.0000 0.7809 7.3349
Tb 0.0000 4.3709 1.1308
Ni 0.0000 4.0322 15.4808
Tb 1.8502 0.1415 13.4278
Tb 0.0000 4.3692 7.8206
Th 0.0000 2.8928 4.4779
Ni 1.8502 2.6632 2.4187
Tb 1.8502 2.3245 16.7687
Tb 1.8502 5.9082 16.2851
Ni 0.0000 4.0361 11.3615
```

## TbThZnNi (PBE)

Data for a geometry-optimized TbThZnNi structure.

Properties
D(E_F) in states/eV/cell: 3.5
Mass density in g/cm³: 9.59
Symmetry: F-43m (216)
Energy of formation in eV per atom: -0.24
Magnetization in μB/atom: 0.000
Uncorrected energy in eV per atom: -5.01

```
4
Lattice="5.0148 0.0000 0.0000 2.5074 4.3429 0.0000 2.5074 1.4476 4.0946" Properties=species:S:1:pos:R:3 pbc="T T T"
Zn 7.5222 4.3429 3.0709
Ni 2.5074 1.4476 1.0236
Tb 0.0000 0.0000 0.0000
Th 5.0148 2.8953 2.0473
```

## TbTiNi2 (PBE)

Data for a geometry-optimized TbTiNi2 structure.

Properties
D(E_F) in states/eV/cell: 4.7
Mass density in g/cm³: 8.20
Symmetry: P4/mmm (123)
Energy of formation in eV per atom: -0.22
Magnetization in μB/atom: 0.000
Uncorrected energy in eV per atom: -6.24
ΔE to the lowest computed polymorph in meV/atom: 146

```
4
Lattice="3.1786 0.0000 0.0000 0.0000 4.5434 0.0000 0.0000 0.0000 4.5434" Properties=species:S:1:pos:R:3 pbc="T T T"
Ni 0.0000 0.0000 2.2717
Ti 1.5893 0.0000 0.0000
Tb 1.5893 2.2717 2.2717
Ni 0.0000 2.2717 0.0000
```

## TbTiNi (PBE)

Data for a geometry-optimized TbTiNi structure.

Properties
D(E_F) in states/eV/cell: 6.3
Mass density in g/cm³: 7.51
Symmetry: P4/nmm (129)
Energy of formation in eV per atom: -0.31
Magnetization in μB/atom: 0.000
Uncorrected energy in eV per atom: -6.41

```
6
Lattice="-2.8565 -2.4984 2.0787 2.3662 -3.4958 -0.9500 3.2300 0.7388 5.3264" Properties=species:S:1:pos:R:3 pbc="T T T"
Ti 1.3699 -2.6277 3.2276
Ni 2.1880 -1.5181 1.1822
Tb 4.0040 -1.1027 4.1768
Ni 0.7969 -0.7402 4.7086
Ti 1.6150 0.3694 2.6632
Tb -1.0191 -1.1556 1.7140
```